(1)
Density functional theory data (GGA-PBE) for a relaxed CrWCl crystal.

Values from the calculation:
V: 51.1 Å³ per cell
Symmetry: No. 216
Size of the total moment: 0.69 μB/cell
Formation energy without anion corrections: 1385 meV/atom
Polymorph energy (0 for the lowest one): 1074 meV/atom

Cell lengths 4.165, 4.165, 4.165 Å; angles 60.00, 60.00, 60.00 degrees
Atoms (fractional coordinates):
Cr  0.000  0.000  0.000
W  0.750  0.750  0.750
Cl  0.500  0.500  0.500

=====

(2)
Density functional theory data (GGA-PBE) for a relaxed Cr4WCl crystal.

Values from the calculation:
V: 80.5 Å³ per cell
Symmetry: No. 216
Size of the total moment: 0.00 μB/cell
Formation energy without anion corrections: 809 meV/atom

Cell lengths 4.846, 4.846, 4.846 Å; angles 60.00, 60.00, 60.00 degrees
Atoms (fractional coordinates):
Cr  0.125  0.125  0.125
Cr  0.125  0.125  0.625
Cr  0.125  0.625  0.125
Cr  0.625  0.125  0.125
W  0.750  0.750  0.750
Cl  0.500  0.500  0.500

=====

(3)
Density functional theory data (GGA-PBE) for a relaxed CrWCl crystal.

Values from the calculation:
V: 49.0 Å³ per cell
Symmetry: No. 42
Size of the total moment: 0.98 μB/cell
Formation energy without anion corrections: 490 meV/atom
Polymorph energy (0 for the lowest one): 179 meV/atom

Cell lengths 6.727, 6.420, 2.974 Å; angles 82.77, 71.22, 26.02 degrees
Atoms (fractional coordinates):
Cr  0.000  0.000  0.000
W  0.642  0.642  0.358
Cl  0.337  0.337  0.663

=====

(4)
Density functional theory data (GGA-PBE) for a relaxed CrW3Cl crystal.

Values from the calculation:
V: 96.0 Å³ per cell
Symmetry: No. 221
Size of the total moment: 0.00 μB/cell
Formation energy without anion corrections: 1972 meV/atom
Polymorph energy (0 for the lowest one): 205 meV/atom

Cell lengths 4.579, 4.579, 4.579 Å; angles 90.00, 90.00, 90.00 degrees
Atoms (fractional coordinates):
Cr  0.000  0.000  0.000
W  0.000  0.000  0.500
W  0.000  0.500  0.000
W  0.500  0.000  0.000
Cl  0.500  0.500  0.500

=====

(5)
Density functional theory data (GGA-PBE) for a relaxed CrW2Cl crystal.

Values from the calculation:
V: 61.0 Å³ per cell
Symmetry: No. 166
Size of the total moment: 0.00 μB/cell
Formation energy without anion corrections: 585 meV/atom
Polymorph energy (0 for the lowest one): 214 meV/atom

Cell lengths 8.494, 8.494, 8.494 Å; angles 19.72, 19.72, 19.72 degrees
Atoms (fractional coordinates):
Cr  0.000  0.000  0.000
W  0.255  0.255  0.255
W  0.745  0.745  0.745
Cl  0.500  0.500  0.500

=====

(6)
Density functional theory data (GGA-PBE) for a relaxed YCr2WCl crystal.

Values from the calculation:
V: 118.1 Å³ per cell
Symmetry: No. 123
Size of the total moment: 1.01 μB/cell
Formation energy without anion corrections: 2919 meV/atom

Cell lengths 4.806, 4.806, 5.114 Å; angles 90.00, 90.00, 90.00 degrees
Atoms (fractional coordinates):
Y  0.000  0.000  0.000
Cr  0.000  0.500  0.000
Cr  0.500  0.000  0.000
W  0.000  0.000  0.500
Cl  0.500  0.500  0.500

=====

(7)
Density functional theory data (GGA-PBE) for a relaxed ZnCrWCl2 crystal.

Values from the calculation:
V: 134.2 Å³ per cell
Symmetry: No. 123
Size of the total moment: 8.04 μB/cell
Formation energy without anion corrections: 1430 meV/atom

Cell lengths 4.481, 4.481, 6.684 Å; angles 90.00, 90.00, 90.00 degrees
Atoms (fractional coordinates):
Zn  0.000  0.000  0.000
Cr  0.000  0.000  0.500
W  0.500  0.500  0.500
Cl  0.000  0.500  0.000
Cl  0.500  0.000  0.000

=====

(8)
Density functional theory data (GGA-PBE) for a relaxed YCrCl crystal.

Values from the calculation:
V: 85.8 Å³ per cell
Symmetry: No. 216
Size of the total moment: 5.77 μB/cell
Formation energy without anion corrections: 361 meV/atom

Cell lengths 4.952, 4.952, 4.952 Å; angles 60.00, 60.00, 60.00 degrees
Atoms (fractional coordinates):
Y  0.000  0.000  0.000
Cr  0.750  0.750  0.750
Cl  0.250  0.250  0.250